DFT (PBE with a Hubbard U) results for a relaxed structure of AcNiPt2O8.

Structure (POSCAR):
```
AcNiPt2O8
1.0
5.166 0.000 0.000
-2.583 4.474 0.000
0.000 0.000 6.725
Ac Ni Pt O
1 1 2 8
Cartesian
0.000 0.000 3.363
0.000 0.000 0.000
2.583 1.491 0.000
0.000 2.983 6.725
3.446 2.978 5.635
0.863 1.496 5.635
3.439 0.000 5.635
-0.863 1.496 1.090
1.719 2.978 1.090
-0.856 4.474 1.090
2.583 1.491 3.361
0.000 2.983 3.364
```

Results
crystal system	trigonal
DFT total energy	-5.69	eV/atom
magnetization	0.40	μB per atom